[1]
Here is crystalline CaCoAs2 at its relaxed geometry from the Alexandria database. Energies are from PBE.

Properties
- DOS at the Fermi energy: 0.4575 states/eV/atom
- DFT formation energy: -0.569 eV/atom
- Magnetization: 0.00 μB/f.u.
- Calculated volume: 18.6 A^3/atom

a = 6.876 Å, b = 3.796 Å, c = 6.059 Å
α = 90.00°, β = 109.67°, γ = 90.00°
Space group C2/m (No. 12)
Asymmetric unit:
Ca: 0.000 0.000 0.000 [2 per cell]
Co: 0.000 0.500 0.500 [2 per cell]
As: 0.223 0.000 0.664 [4 per cell]



[2]
Here is crystalline CaCoAs2 at its relaxed geometry from the Alexandria database. Energies are from PBE.

Properties
- DOS at the Fermi energy: 0.5870 states/eV/atom
- DFT formation energy: -0.365 eV/atom
- Magnetization: 0.81 μB/f.u.
- Calculated volume: 21.7 A^3/atom

a = 4.279 Å, b = 4.514 Å, c = 4.490 Å
α = 90.00°, β = 90.00°, γ = 90.00°
Space group Pmm2 (No. 25)
Asymmetric unit:
Ca: 0.000 0.000 0.000 [1 per cell]
Co: 0.500 0.500 0.686 [1 per cell]
As: 0.500 0.000 0.514 [1 per cell]
As: 0.500 0.500 0.175 [1 per cell]



[3]
Here is crystalline CaCoAs2 at its relaxed geometry from the Alexandria database. Energies are from PBE.

Properties
- DOS at the Fermi energy: 1.1130 states/eV/atom
- DFT formation energy: -0.100 eV/atom
- Magnetization: 1.73 μB/f.u.
- Calculated volume: 18.3 A^3/atom

a = 6.133 Å, b = 6.142 Å, c = 3.896 Å
α = 90.00°, β = 90.00°, γ = 90.00°
Space group Cmmm (No. 65)
Asymmetric unit:
Ca: 0.000 0.000 0.000 [2 per cell]
Co: 0.000 0.500 0.000 [2 per cell]
As: 0.250 0.250 0.500 [4 per cell]



[4]
Here is crystalline Ca3CoAs at its relaxed geometry from the Alexandria database. Energies are from PBE.

Properties
- DOS at the Fermi energy: 0.5036 states/eV/atom
- DFT formation energy: -0.063 eV/atom
- Magnetization: 0.00 μB/f.u.
- Offset from the most stable computed form: 0.000 eV per atom
- Calculated volume: 26.8 A^3/atom

a = 5.119 Å, b = 5.119 Å, c = 5.119 Å
α = 90.00°, β = 90.00°, γ = 90.00°
Space group Pm-3m (No. 221)
Asymmetric unit:
Ca: 0.000 0.000 0.500 [3 per cell]
Co: 0.000 0.000 0.000 [1 per cell]
As: 0.500 0.500 0.500 [1 per cell]



[5]
Here is crystalline CaCo5As3 at its relaxed geometry from the Alexandria database. Energies are from PBE.

Properties
- DOS at the Fermi energy: 0.9196 states/eV/atom
- DFT formation energy: -0.389 eV/atom
- Magnetization: 0.94 μB/f.u.
- Calculated volume: 14.5 A^3/atom

a = 3.721 Å, b = 12.008 Å, c = 11.675 Å
α = 90.00°, β = 90.00°, γ = 90.00°
Space group Cmcm (No. 63)
Asymmetric unit:
Ca: 0.000 0.164 0.250 [4 per cell]
Co: 0.000 0.000 0.000 [4 per cell]
Co: 0.000 0.194 0.566 [8 per cell]
Co: 0.000 0.446 0.142 [8 per cell]
As: 0.000 0.109 0.750 [4 per cell]
As: 0.000 0.380 0.546 [8 per cell]



[6]
Here is crystalline CaCoAs2 at its relaxed geometry from the Alexandria database. Energies are from PBE.

Properties
- DOS at the Fermi energy: 0.3961 states/eV/atom
- DFT formation energy: -0.106 eV/atom
- Magnetization: 0.34 μB/f.u.
- Calculated volume: 20.1 A^3/atom

a = 3.042 Å, b = 3.042 Å, c = 8.680 Å
α = 90.00°, β = 90.00°, γ = 90.00°
Space group P4mm (No. 99)
Asymmetric unit:
Ca: 0.000 0.000 0.000 [1 per cell]
Co: 0.500 0.500 0.254 [1 per cell]
As: 0.000 0.000 0.376 [1 per cell]
As: 0.500 0.500 0.745 [1 per cell]



[7]
Here is crystalline CaCoAs2 at its relaxed geometry from the Alexandria database. Energies are from PBE.

Properties
- DOS at the Fermi energy: 0.6000 states/eV/atom
- DFT formation energy: -0.445 eV/atom
- Magnetization: 0.00 μB/f.u.
- Calculated volume: 20.4 A^3/atom

a = 7.126 Å, b = 7.126 Å, c = 6.433 Å
α = 90.00°, β = 90.00°, γ = 90.00°
Space group I-42d (No. 122)
Asymmetric unit:
Ca: 0.000 0.000 0.000 [4 per cell]
Co: 0.000 0.000 0.500 [4 per cell]
As: 0.164 0.250 0.625 [8 per cell]



[8]
Here is crystalline Ca2Co12As7 at its relaxed geometry from the Alexandria database. Energies are from PBE.

Properties
- DOS at the Fermi energy: 0.6870 states/eV/atom
- DFT formation energy: -0.391 eV/atom
- Magnetization: 5.77 μB/f.u.
- Calculated volume: 13.5 A^3/atom

a = 9.3792 Å, b = 9.3792 Å, c = 3.7231 Å
α = 90.00°, β = 90.00°, γ = 120.00°
Space group P-6 (No. 174)
Asymmetric unit:
Ca: 0.0000 0.0000 0.0000 [1 per cell]
Ca: 0.3333 0.6667 0.5000 [1 per cell]
Co: 0.0476 0.2841 0.5000 [3 per cell]
Co: 0.0984 0.7103 0.0000 [3 per cell]
Co: 0.3913 0.1779 0.0000 [3 per cell]
Co: 0.5441 0.4290 0.5000 [3 per cell]
As: 0.0754 0.4504 0.0000 [3 per cell]
As: 0.2611 0.2199 0.5000 [3 per cell]
As: 0.6667 0.3333 0.0000 [1 per cell]